# HfTiFe2Cl PBE-GGA relaxed
data_HfTiFe2Cl
_cell_length_a 4.3053
_cell_length_b 4.3053
_cell_length_c 4.5235
_cell_angle_alpha 90.00
_cell_angle_beta 90.00
_cell_angle_gamma 90.00
_symmetry_space_group_name_H-M 'P 4/m m m'
_symmetry_Int_Tables_number 123
_symmetry_space_group_name_Hall '-P 4 2'
loop_
_atom_site_label
_atom_site_fract_x
_atom_site_fract_y
_atom_site_fract_z
Hf1 0.0000 0.0000 0.0000
Ti1 0.5000 0.5000 0.5000
Fe1 0.0000 0.5000 0.5000
Cl1 0.5000 0.5000 0.0000
# Mass density   7.40 Mg/m³
# Volume   83.85 Å³ per cell
# Uncorrected formation energy   0.731 eV per atom

---

# NdErAlTl PBE-GGA relaxed
data_NdErAlTl
_cell_length_a 7.5101
_cell_length_b 7.5101
_cell_length_c 7.5101
_cell_angle_alpha 90.00
_cell_angle_beta 90.00
_cell_angle_gamma 90.00
_symmetry_space_group_name_H-M 'F -4 3 m'
_symmetry_Int_Tables_number 216
_symmetry_space_group_name_Hall 'F -4 2 3'
loop_
_atom_site_label
_atom_site_fract_x
_atom_site_fract_y
_atom_site_fract_z
Nd1 0.0000 0.0000 0.0000
Er1 0.0000 0.0000 0.5000
Al1 0.2500 0.2500 0.7500
Tl1 0.2500 0.2500 0.2500
# Mass density   8.51 Mg/m³
# Volume   423.58 Å³ per cell
# ΔH_f (0 K)   -127.0 kJ/mol of formula units
# ΔE to the lowest computed polymorph   0.030 eV per atom

---

# Sc2InCl PBE-GGA relaxed
data_Sc2InCl
_cell_length_a 3.5540
_cell_length_b 3.5540
_cell_length_c 23.0641
_cell_angle_alpha 90.00
_cell_angle_beta 90.00
_cell_angle_gamma 120.00
_symmetry_space_group_name_H-M 'R -3 m'
_symmetry_Int_Tables_number 166
_symmetry_space_group_name_Hall '-R 3 2"'
loop_
_atom_site_label
_atom_site_fract_x
_atom_site_fract_y
_atom_site_fract_z
Sc1 0.0000 0.0000 0.2352
In1 0.0000 0.0000 0.0000
Cl1 0.0000 0.0000 0.5000
# Mass density   4.74 Mg/m³
# Volume   252.40 Å³ per cell
# Uncorrected formation energy   -0.714 eV per atom
# ΔE to the lowest computed polymorph   0.060 eV per atom

---

# ScBeOs2 PBE-GGA relaxed
data_ScBeOs2
_cell_length_a 2.8105
_cell_length_b 4.0431
_cell_length_c 5.1671
_cell_angle_alpha 90.00
_cell_angle_beta 98.95
_cell_angle_gamma 90.00
_symmetry_space_group_name_H-M 'P 1 2/m 1'
_symmetry_Int_Tables_number 10
loop_
_symmetry_equiv_pos_as_xyz
'x,y,z'
'-x,-y,-z'
'-x,y,-z'
'x,-y,z'
loop_
_atom_site_label
_atom_site_fract_x
_atom_site_fract_y
_atom_site_fract_z
Sc1 0.0000 0.0000 0.0000
Be1 0.5000 0.0000 0.5000
Os1 0.3078 0.5000 0.7172
# Mass density   12.44 Mg/m³
# Volume   58.00 Å³ per cell
# ΔH_f (0 K)   -11.0 kJ/mol of formula units